## one
Pr5Tl2Ir: optimized geometry, GGA-PBE.

Geometry as POSCAR:
```
Pr5Tl2Ir
1.0
4.860 0.000 0.000
0.000 8.166 0.000
0.000 0.000 12.578
Pr Tl Ir
10 4 2
Direct
0.000 0.000 0.500
0.000 0.500 0.000
0.000 0.863 0.203
0.000 0.137 0.797
0.000 0.637 0.703
0.000 0.363 0.297
0.500 0.683 0.429
0.500 0.317 0.571
0.500 0.817 0.929
0.500 0.183 0.071
0.500 0.576 0.169
0.500 0.424 0.831
0.500 0.924 0.669
0.500 0.076 0.331
0.000 0.500 0.500
0.000 0.000 0.000
```

## Properties
total magnetic moment: 0.00 μB per cell

=====

## two
Pr5Tl2Ir: optimized geometry, GGA-PBE.

Geometry as POSCAR:
```
Pr5Tl2Ir
1.0
7.297 -0.003 0.000
-0.003 7.297 0.000
-3.647 -3.647 4.568
Pr Tl Ir
5 2 1
Direct
0.736 0.234 0.970
0.234 0.234 0.968
0.735 0.735 0.969
0.234 0.736 0.970
0.748 0.748 0.496
0.232 0.732 0.465
0.732 0.232 0.465
0.126 0.126 0.252
```

## Properties
total magnetic moment: 0.00 μB per cell

=====

So which one is most stable? That would be one, about 199 meV per atom below the next structure.

=====

## one
PrTm2Ir: optimized geometry, GGA-PBE.

Geometry as POSCAR:
```
PrTm2Ir
1.0
3.869 0.001 0.000
-1.932 6.185 0.000
0.000 0.000 9.034
Pr Tm Ir
2 4 2
Direct
0.933 0.865 0.250
0.067 0.135 0.750
0.354 0.709 0.566
0.646 0.291 0.434
0.354 0.709 0.934
0.646 0.291 0.066
0.753 0.506 0.750
0.247 0.494 0.250
```

## Properties
total magnetic moment: 0.00 μB per cell

=====

## two
PrTm2Ir: optimized geometry, GGA-PBE.

Geometry as POSCAR:
```
PrTm2Ir
1.0
-0.741 0.204 -4.007
-3.838 -0.158 -1.375
-2.056 8.349 -1.272
Pr Tm Ir
1 2 1
Direct
0.502 0.502 0.493
0.054 0.054 0.839
0.278 0.278 0.166
0.666 0.666 0.002
```

## Properties
total magnetic moment: 0.00 μB per cell

=====

## three
PrTm2Ir: optimized geometry, GGA-PBE.

Geometry as POSCAR:
```
PrTm2Ir
1.0
6.449 0.000 0.000
0.000 7.300 0.000
0.000 0.000 9.249
Pr Tm Ir
4 8 4
Direct
0.632 0.533 0.250
0.868 0.033 0.250
0.368 0.467 0.750
0.132 0.967 0.750
0.167 0.675 0.065
0.333 0.175 0.435
0.833 0.325 0.565
0.667 0.825 0.935
0.833 0.325 0.935
0.667 0.825 0.565
0.167 0.675 0.435
0.333 0.175 0.065
0.069 0.382 0.250
0.431 0.882 0.250
0.931 0.618 0.750
0.569 0.118 0.750
```

## Properties
total magnetic moment: 0.00 μB per cell

=====

So which one is most stable? That would be three, about 28 meV per atom below the next structure.

=====

## one
PrTm2Ir: optimized geometry, GGA-PBE.

Geometry as POSCAR:
```
PrTm2Ir
1.0
-0.227 -1.767 -2.962
3.408 -0.572 0.079
-1.360 -7.471 4.561
Pr Ir Tm
1 1 2
Direct
0.500 0.500 0.500
0.500 0.500 0.000
0.000 0.000 0.819
0.000 0.000 0.181
```

## Properties
total magnetic moment: 0.00 μB per cell

=====

## two
PrTm2Ir: optimized geometry, GGA-PBE.

Geometry as POSCAR:
```
PrTm2Ir
1.0
3.892 0.000 0.000
1.946 3.370 0.000
1.946 1.123 9.233
Pr Ir Tm
1 1 2
Direct
0.500 0.500 0.500
0.000 0.000 0.000
0.278 0.278 0.166
0.722 0.722 0.834
```

## Properties
total magnetic moment: 0.00 μB per cell

=====

So which one is most stable? That would be one, about 105 meV per atom below the next structure.

=====

## one
PrY2Ir: optimized geometry, GGA-PBE.

Geometry as POSCAR:
```
PrY2Ir
1.0
3.871 0.001 0.000
-1.933 6.214 0.000
0.000 0.000 9.364
Pr Y Ir
2 4 2
Direct
0.927 0.853 0.250
0.073 0.147 0.750
0.357 0.714 0.568
0.643 0.286 0.432
0.357 0.714 0.932
0.643 0.286 0.068
0.754 0.508 0.750
0.246 0.492 0.250
```

## Properties
total magnetic moment: 0.00 μB per cell

=====

## two
PrY2Ir: optimized geometry, GGA-PBE.

Geometry as POSCAR:
```
PrY2Ir
1.0
-2.058 -4.062 4.679
-2.580 -4.580 -5.111
8.335 -4.463 -0.208
Pr Y Ir
4 8 4
Direct
0.636 0.535 0.250
0.864 0.035 0.250
0.364 0.465 0.750
0.136 0.965 0.750
0.170 0.674 0.065
0.330 0.174 0.435
0.830 0.326 0.565
0.670 0.826 0.935
0.830 0.326 0.935
0.670 0.826 0.565
0.170 0.674 0.435
0.330 0.174 0.065
0.062 0.382 0.250
0.438 0.882 0.250
0.938 0.618 0.750
0.562 0.118 0.750
```

## Properties
total magnetic moment: 0.00 μB per cell

=====

## three
PrY2Ir: optimized geometry, GGA-PBE.

Geometry as POSCAR:
```
PrY2Ir
1.0
3.504 0.000 0.000
0.000 3.504 0.000
0.000 0.000 8.988
Pr Y Ir
1 2 1
Direct
0.500 0.500 0.500
0.000 0.000 0.818
0.000 0.000 0.182
0.500 0.500 0.000
```

## Properties
total magnetic moment: 0.00 μB per cell

=====

## four
PrY2Ir: optimized geometry, GGA-PBE.

Geometry as POSCAR:
```
PrY2Ir
1.0
-0.251 3.836 -1.181
-3.179 2.225 1.057
3.123 4.587 7.388
Pr Y Ir
1 2 1
Direct
0.502 0.502 0.495
0.055 0.055 0.835
0.277 0.277 0.169
0.666 0.666 0.002
```

## Properties
total magnetic moment: 0.00 μB per cell

=====

So which one is most stable? That would be two, about 32 meV per atom below the next structure.